Computed, not measured: an optimized crystal structure of Hf2CuC at the PBE-GGA level of DFT.

Values from the calculation:
Space-group type: R-3m
DFT total energy, eV per atom: -8.775
N(E_F), states/eV/f.u.: 2.9
Magnetic moment, μB/atom: 0.00
DFT formation energy, meV/atom: -469
Calculated density, Mg/m³: 11.562

Unit cell a=6.9682 b=6.9682 c=6.9682 alpha=27.14 beta=27.14 gamma=27.14
Sites, in units of the cell vectors:
Hf 0.2308 0.2308 0.2308
Hf 0.7692 0.7692 0.7692
Cu 0.0000 0.0000 0.0000
C 0.5000 0.5000 0.5000

=====

Computed, not measured: an optimized crystal structure of HfCu3C at the PBE-GGA level of DFT.

Values from the calculation:
Space-group type: Pm-3m
DFT total energy, eV per atom: -3.650
N(E_F), states/eV/f.u.: 5.4
Magnetic moment, μB/atom: 0.34
DFT formation energy, meV/atom: 2643
Distance to the lowest polymorph of the same formula, eV/atom: 2.175
Calculated density, Mg/m³: 5.368

Unit cell a=4.9035 b=4.9035 c=4.9035 alpha=90.00 beta=90.00 gamma=90.00
Sites, in units of the cell vectors:
Hf 0.0000 0.0000 0.0000
Cu 0.0000 0.0000 0.5000
Cu 0.0000 0.5000 0.0000
Cu 0.5000 0.0000 0.0000
C 0.5000 0.5000 0.5000

=====

Computed, not measured: an optimized crystal structure of Hf2CuC at the PBE-GGA level of DFT.

Values from the calculation:
Space-group type: I-42d
DFT total energy, eV per atom: -8.295
N(E_F), states/eV/f.u.: 3.9
Magnetic moment, μB/atom: 0.00
DFT formation energy, meV/atom: 12
Calculated density, Mg/m³: 10.794

Unit cell a=5.5746 b=5.5746 c=5.5746 alpha=111.00 beta=111.00 gamma=106.45
Sites, in units of the cell vectors:
Hf 0.0705 0.6250 0.9455
Hf 0.3750 0.3205 0.4455
Hf 0.6795 0.1250 0.0545
Hf 0.8750 0.9295 0.5545
Cu 0.2500 0.7500 0.5000
Cu 0.5000 0.5000 0.0000
C 0.0000 0.0000 0.0000
C 0.7500 0.2500 0.5000